No. 1
{"formula": "Ba2InCuO4", "functional": "meta-GGA SCAN", "state": "PBEsol geometry", "lattice": [[4.1586, 0.0000, 0.0000], [0.0000, 4.1586, 0.0000], [0.0000, 0.0000, 8.1204]], "species": ["Ba", "Ba", "In", "Cu", "O", "O", "O", "O"], "fractional_positions": [[0.0000, 0.0000, 0.2327], [0.0000, 0.0000, 0.7673], [0.5000, 0.5000, 0.0000], [0.5000, 0.5000, 0.5000], [0.0000, 0.5000, 0.0000], [0.5000, 0.0000, 0.0000], [0.5000, 0.5000, 0.2802], [0.5000, 0.5000, 0.7198]], "dft_energy_ev_per_atom": -21.19, "dos_at_fermi_per_ev_cell": 0.00, "mass_density_g_cm3": 6.113, "magnetic_moment_mub_per_cell": 0.00, "raw_formation_energy_ev_per_atom": -2.11}

=====

No. 2
{"formula": "Hf2ZrBeOs", "functional": "meta-GGA SCAN", "state": "PBEsol geometry", "lattice": [[4.5031, 0.0000, 0.0000], [0.0000, 4.5031, 0.0000], [0.0000, 0.0000, 4.4918]], "species": ["Hf", "Hf", "Zr", "Be", "Os"], "fractional_positions": [[0.0000, 0.5000, 0.0000], [0.5000, 0.0000, 0.0000], [0.0000, 0.0000, 0.5000], [0.0000, 0.0000, 0.0000], [0.5000, 0.5000, 0.5000]], "dft_energy_ev_per_atom": -45.94, "dos_at_fermi_per_ev_cell": 4.58, "mass_density_g_cm3": 11.803, "magnetic_moment_mub_per_cell": 0.00, "e_form_ev_per_atom": 0.5110}

=====

No. 3
{"formula": "LaTl2P", "functional": "meta-GGA SCAN", "state": "PBEsol geometry", "lattice": [[-2.1550, 2.4516, 4.7595], [2.1550, -2.4516, 4.7595], [2.1550, 2.4516, -4.7595]], "species": ["La", "Tl", "Tl", "P"], "fractional_positions": [[0.0000, 0.0000, 0.0000], [0.4411, 0.4411, 0.0000], [0.7262, 0.2262, 0.5000], [0.2340, 0.7340, 0.5000]], "dft_energy_ev_per_atom": -50.04, "dos_at_fermi_per_ev_cell": 1.16, "mass_density_g_cm3": 9.553, "magnetic_moment_mub_per_cell": 0.00, "de_polymorph_ev_per_fu": 0.56, "e_form_ev_per_atom": -0.4811}

=====

No. 4
{"formula": "BaTe2IN", "functional": "meta-GGA SCAN", "state": "PBEsol geometry", "lattice": [[6.6156, 0.0000, 0.0000], [0.0000, 6.6156, 0.0000], [0.0000, 0.0000, 4.6595]], "species": ["Ba", "Te", "Te", "I", "N"], "fractional_positions": [[0.0000, 0.0000, 0.0000], [0.0000, 0.5000, 0.0000], [0.5000, 0.0000, 0.0000], [0.5000, 0.5000, 0.5000], [0.0000, 0.0000, 0.5000]], "dft_energy_ev_per_atom": -31.16, "dos_at_fermi_per_ev_cell": 6.89, "mass_density_g_cm3": 4.344, "magnetic_moment_mub_per_cell": 5.33, "raw_formation_energy_ev_per_atom": 0.86}